No. 1
# PBE CePr8Dy4, relaxed
# space group	R-3m (166)
# mass density	6668	kg/m3
# formation energy	419	meV/atom
data_CePr8Dy4
_space_group_name_H-M_alt 'P 1'
_space_group_IT_number 1
_space_group_name_Hall 'P 1'
_cell_length_a 11.9232
_cell_length_b 11.9235
_cell_length_c 7.9012
_cell_angle_alpha 90.00
_cell_angle_beta 138.98
_cell_angle_gamma 120.00
loop_
_atom_site_label
_atom_site_fract_x
_atom_site_fract_y
_atom_site_fract_z
Pr1 0.1606 0.8309 0.9915
Dy1 0.5000 0.0000 0.0000
Pr2 0.8394 0.1691 0.0085
Dy2 0.0000 0.0000 0.0000
Dy3 0.0000 0.5000 0.0000
Pr3 0.5044 0.7522 0.2566
Pr4 0.1606 0.3296 0.9916
Pr5 0.6621 0.8310 0.9918
Dy4 0.5000 0.5000 0.0000
Pr6 0.4956 0.2478 0.7434
Ce1 0.0000 0.5000 0.5000
Pr7 0.8394 0.6704 0.0084
Pr8 0.3379 0.1690 0.0082

---

No. 2
# PBE LiSc2Tl, relaxed
# space group	Imm2 (44)
# mass density	5653	kg/m3
# formation energy	-83	meV/atom
data_LiSc2Tl
_space_group_name_H-M_alt 'P 1'
_space_group_IT_number 1
_space_group_name_Hall 'P 1'
_cell_length_a 5.9252
_cell_length_b 5.9252
_cell_length_c 5.9252
_cell_angle_alpha 145.34
_cell_angle_beta 130.92
_cell_angle_gamma 61.48
loop_
_atom_site_label
_atom_site_fract_x
_atom_site_fract_y
_atom_site_fract_z
Li1 0.2710 0.7710 0.5000
Tl1 0.4781 0.4781 0.0000
Sc1 0.7427 0.2427 0.5000
Sc2 0.0082 0.0082 0.0000

---

No. 3
# PBE NaPuSO6, relaxed
# space group	P312 (149)
# mass density	5425	kg/m3
# formation energy without anion corrections	-1.60	eV per atom
data_NaPuSO6
_space_group_name_H-M_alt 'P 1'
_space_group_IT_number 1
_space_group_name_Hall 'P 1'
_cell_length_a 5.0689
_cell_length_b 5.2483
_cell_length_c 5.2483
_cell_angle_alpha 120.00
_cell_angle_beta 90.00
_cell_angle_gamma 90.00
loop_
_atom_site_label
_atom_site_fract_x
_atom_site_fract_y
_atom_site_fract_z
S1 0.5000 0.0000 0.0000
O1 0.6922 0.7411 0.7311
O2 0.3078 0.2689 0.2589
O3 0.3078 0.9901 0.7311
O4 0.6922 0.9901 0.2589
O5 0.3078 0.7411 0.0099
O6 0.6922 0.2689 0.0099
Na1 0.0000 0.3333 0.6667
Pu1 0.5000 0.6667 0.3333

---

No. 4
# PBE ZnReN2, relaxed
# space group	R-3m (166)
# mass density	10001	kg/m3
# formation energy without anion corrections	0.21	eV per atom
data_ZnReN2
_space_group_name_H-M_alt 'P 1'
_space_group_IT_number 1
_space_group_name_Hall 'P 1'
_cell_length_a 6.5585
_cell_length_b 6.5585
_cell_length_c 6.5585
_cell_angle_alpha 25.62
_cell_angle_beta 25.62
_cell_angle_gamma 25.62
loop_
_atom_site_label
_atom_site_fract_x
_atom_site_fract_y
_atom_site_fract_z
Re1 0.5000 0.5000 0.5000
N1 0.1015 0.1015 0.1015
N2 0.8985 0.8985 0.8985
Zn1 0.0000 0.0000 0.0000

---

No. 5
# PBE Pt2SeCl, relaxed
# space group	I-4m2 (119)
# mass density	10364	kg/m3
# offset from the most stable computed form	703	meV/atom
# formation energy without anion corrections	0.46	eV per atom
data_Pt2SeCl
_space_group_name_H-M_alt 'P 1'
_space_group_IT_number 1
_space_group_name_Hall 'P 1'
_cell_length_a 6.8839
_cell_length_b 6.8839
_cell_length_c 6.8839
_cell_angle_alpha 150.10
_cell_angle_beta 150.10
_cell_angle_gamma 42.79
loop_
_atom_site_label
_atom_site_fract_x
_atom_site_fract_y
_atom_site_fract_z
Cl1 0.7500 0.2500 0.5000
Se1 0.5000 0.5000 0.0000
Pt1 0.2500 0.7500 0.5000
Pt2 0.0000 0.0000 0.0000

---

No. 6
# PBE KSrAc, relaxed
# space group	P3m1 (156)
# mass density	3653	kg/m3
# offset from the most stable computed form	10	meV/atom
# formation energy	155	meV/atom
data_KSrAc
_space_group_name_H-M_alt 'P 1'
_space_group_IT_number 1
_space_group_name_Hall 'P 1'
_cell_length_a 4.1312
_cell_length_b 4.1312
_cell_length_c 10.8801
_cell_angle_alpha 90.00
_cell_angle_beta 90.00
_cell_angle_gamma 120.00
loop_
_atom_site_label
_atom_site_fract_x
_atom_site_fract_y
_atom_site_fract_z
Sr1 0.6667 0.3333 0.3516
Ac1 0.3333 0.6667 0.6535
K1 0.0000 0.0000 0.9949

---

No. 7
# PBE Rb2AsBr6Cl, relaxed
# space group	I4/mmm (139)
# mass density	3607	kg/m3
# formation energy without anion corrections	-0.83	eV per atom
data_Rb2AsBr6Cl
_space_group_name_H-M_alt 'P 1'
_space_group_IT_number 1
_space_group_name_Hall 'P 1'
_cell_length_a 7.7671
_cell_length_b 7.7671
_cell_length_c 7.9919
_cell_angle_alpha 60.93
_cell_angle_beta 60.93
_cell_angle_gamma 90.00
loop_
_atom_site_label
_atom_site_fract_x
_atom_site_fract_y
_atom_site_fract_z
Br1 0.2312 0.2312 0.0000
Rb1 0.7500 0.2500 0.5000
Rb2 0.2500 0.7500 0.5000
Br2 0.7688 0.2312 0.0000
Cl1 0.5000 0.5000 0.0000
Br3 0.2214 0.2214 0.5573
Br4 0.7688 0.7688 0.0000
Br5 0.2312 0.7688 0.0000
Br6 0.7786 0.7786 0.4427
As1 0.0000 0.0000 0.0000

---

No. 8
# PBE Na2Cu2Hg, relaxed
# space group	P4/mbm (127)
# mass density	5818	kg/m3
# offset from the most stable computed form	202	meV/atom
# formation energy	281	meV/atom
data_Na2Cu2Hg
_space_group_name_H-M_alt 'P 1'
_space_group_IT_number 1
_space_group_name_Hall 'P 1'
_cell_length_a 8.6113
_cell_length_b 8.6113
_cell_length_c 2.8765
_cell_angle_alpha 90.00
_cell_angle_beta 90.00
_cell_angle_gamma 90.00
loop_
_atom_site_label
_atom_site_fract_x
_atom_site_fract_y
_atom_site_fract_z
Cu1 0.4002 0.0998 0.5000
Cu2 0.0998 0.5998 0.5000
Cu3 0.9002 0.4002 0.5000
Hg1 0.5000 0.5000 0.0000
Na1 0.1892 0.3108 0.0000
Na2 0.3108 0.8108 0.0000
Na3 0.6892 0.1892 0.0000
Cu4 0.5998 0.9002 0.5000
Na4 0.8108 0.6892 0.0000
Hg2 0.0000 0.0000 0.0000

---

No. 9
# PBE Mn5In3Cl12, relaxed
# space group	Ia-3d (230)
# mass density	3164	kg/m3
# formation energy without anion corrections	-0.91	eV per atom
data_Mn5In3Cl12
_space_group_name_H-M_alt 'P 1'
_space_group_IT_number 1
_space_group_name_Hall 'P 1'
_cell_length_a 14.1762
_cell_length_b 14.1762
_cell_length_c 14.1762
_cell_angle_alpha 109.47
_cell_angle_beta 109.47
_cell_angle_gamma 109.47
loop_
_atom_site_label
_atom_site_fract_x
_atom_site_fract_y
_atom_site_fract_z
In1 0.6250 0.3750 0.7500
Cl1 0.5961 0.6102 0.4150
Cl2 0.5961 0.9859 0.6811
In2 0.1250 0.8750 0.7500
Cl3 0.4150 0.3048 0.3189
Cl4 0.3189 0.5141 0.4039
Mn1 0.2500 0.3750 0.6250
Mn2 0.5000 0.5000 0.5000
Cl5 0.9150 0.0961 0.6102
Cl6 0.5141 0.3189 0.9039
Cl7 0.4039 0.0141 0.3189
Cl8 0.6102 0.5961 0.9150
Cl9 0.5141 0.1952 0.1102
Cl10 0.5850 0.6952 0.6811
Cl11 0.0850 0.9039 0.3898
Mn3 0.0000 0.5000 0.5000
Cl12 0.4150 0.1102 0.5961
Cl13 0.1102 0.6952 0.5141
Cl14 0.8898 0.3048 0.4859
Mn4 0.0000 0.0000 0.5000
Cl15 0.9039 0.0850 0.8898
Mn5 0.8750 0.2500 0.6250
Cl16 0.1811 0.0961 0.9859
In3 0.8750 0.7500 0.1250
Cl17 0.4039 0.3898 0.5850
Mn6 0.0000 0.0000 0.0000
Mn7 0.5000 0.0000 0.5000
Cl18 0.8048 0.3189 0.9150
Cl19 0.9859 0.3898 0.3048
Cl20 0.4859 0.8048 0.8898
Cl21 0.0850 0.1811 0.1952
Cl22 0.9859 0.5961 0.1811
Cl23 0.1952 0.5141 0.6102
Cl24 0.3898 0.9859 0.8048
In4 0.6250 0.2500 0.3750
Cl25 0.9150 0.8189 0.8048
Cl26 0.3898 0.4039 0.0850
Mn8 0.6250 0.7500 0.8750
In5 0.2500 0.1250 0.3750
Mn9 0.5000 0.0000 0.0000
Cl27 0.8898 0.5850 0.9039
Cl28 0.1811 0.0850 0.6952
Cl29 0.8189 0.9039 0.0141
Mn10 0.7500 0.1250 0.8750
Cl30 0.1102 0.4150 0.0961
Cl31 0.0961 0.9150 0.1102
Cl32 0.0141 0.4039 0.8189
Mn11 0.3750 0.1250 0.7500
Mn12 0.8750 0.6250 0.7500
Mn13 0.7500 0.6250 0.3750
Cl33 0.3189 0.8048 0.4150
In6 0.3750 0.7500 0.6250
Mn14 0.1250 0.3750 0.2500
In7 0.1250 0.2500 0.8750
Cl34 0.0961 0.1811 0.4859
Cl35 0.0141 0.6102 0.6952
Cl36 0.5850 0.8898 0.4039
Cl37 0.6952 0.5850 0.1811
Cl38 0.8048 0.4859 0.3898
Cl39 0.9039 0.8189 0.5141
Mn15 0.3750 0.2500 0.1250
In8 0.2500 0.6250 0.8750
Cl40 0.4859 0.6811 0.0961
Cl41 0.6811 0.1952 0.5850
Mn16 0.6250 0.8750 0.2500
Cl42 0.8189 0.9150 0.3048
In9 0.8750 0.1250 0.2500
Cl43 0.6952 0.1102 0.0141
In10 0.7500 0.8750 0.6250
Cl44 0.1952 0.6811 0.0850
Mn17 0.1250 0.7500 0.3750
Cl45 0.3048 0.4150 0.8189
In11 0.7500 0.3750 0.1250
Cl46 0.6811 0.4859 0.5961
In12 0.3750 0.6250 0.2500
Mn18 0.0000 0.5000 0.0000
Cl47 0.3048 0.8898 0.9859
Cl48 0.6102 0.0141 0.1952
Mn19 0.2500 0.8750 0.1250
Mn20 0.5000 0.5000 0.0000

---

No. 10
# PBE BaSrMo2, relaxed
# space group	Imm2 (44)
# mass density	5835	kg/m3
# offset from the most stable computed form	201	meV/atom
# formation energy	732	meV/atom
data_BaSrMo2
_space_group_name_H-M_alt 'P 1'
_space_group_IT_number 1
_space_group_name_Hall 'P 1'
_cell_length_a 6.5897
_cell_length_b 6.5897
_cell_length_c 6.5897
_cell_angle_alpha 148.22
_cell_angle_beta 127.34
_cell_angle_gamma 62.83
loop_
_atom_site_label
_atom_site_fract_x
_atom_site_fract_y
_atom_site_fract_z
Sr1 0.5220 0.5220 0.0000
Ba1 0.2260 0.7260 0.5000
Mo1 0.8068 0.3068 0.5000
Mo2 0.9452 0.9452 0.0000

---

Number 1: total magnetization 0.97 μB per formula unit. Number 2: total magnetization 0.67 μB per formula unit. Number 3: total magnetization 3.00 μB per formula unit. Number 4: total magnetization 0.00 μB per formula unit. Number 5: total magnetization 0.00 μB per formula unit. Number 6: total magnetization 0.00 μB per formula unit. Number 7: total magnetization 0.00 μB per formula unit. Number 8: total magnetization 0.00 μB per formula unit. Number 9: total magnetization 24.00 μB per formula unit. Number 10: total magnetization 0.00 μB per formula unit.